Record 1
The following is a DFT calculation (PBE-GGA) of TaTlHg after structural relaxation.

Calculated values
Total moment (Bohr magnetons per cell): 0.00
Calculated volume (Å³/cell): 266.1
Energy of formation (eV/atom): 0.531
DFT total energy (eV per atom): -4.309
Energy above the lowest structure with this stoichiometry (meV per atom): 15

CIF file:
```
data_TaTlHg
_chemical_formula_sum 'Ta4 Tl4 Hg4'
_cell_length_a 3.121
_cell_length_b 5.561
_cell_length_c 15.332
_cell_angle_alpha 90.00
_cell_angle_beta 90.00
_cell_angle_gamma 90.00
_symmetry_space_group_name_H-M 'F m m 2'
_symmetry_Int_Tables_number 42
_symmetry_space_group_name_Hall 'F 2 -2'
loop_
_atom_site_label
_atom_site_type_symbol
_atom_site_fract_x
_atom_site_fract_y
_atom_site_fract_z
_atom_site_occupancy
Ta1 Ta 0.000 0.000 0.000 1
Tl1 Tl 0.000 0.000 0.665 1
Hg1 Hg 0.000 0.000 0.341 1
```

=====

Record 2
The following is a DFT calculation (PBE-GGA) of Cs2ScCl2F4 after structural relaxation.

Calculated values
Total moment (Bohr magnetons per cell): 0.30
Calculated volume (Å³/cell): 427.4
DFT total energy (eV per atom): -4.775
Formation energy from raw total energies (eV/atom): -2.640

CIF file:
```
data_Cs2ScCl2F4
_chemical_formula_sum 'Cs4 Sc2 Cl4 F8'
_cell_length_a 7.356
_cell_length_b 7.356
_cell_length_c 7.898
_cell_angle_alpha 90.00
_cell_angle_beta 90.00
_cell_angle_gamma 90.00
_symmetry_space_group_name_H-M 'I 4/m m m'
_symmetry_Int_Tables_number 139
_symmetry_space_group_name_Hall '-I 4 2'
loop_
_atom_site_label
_atom_site_type_symbol
_atom_site_fract_x
_atom_site_fract_y
_atom_site_fract_z
_atom_site_occupancy
Cs1 Cs 0.000 0.500 0.250 1
Sc1 Sc 0.000 0.000 0.000 1
Cl1 Cl 0.000 0.000 0.338 1
F1 F 0.191 0.191 0.000 1
```

=====

Record 3
The following is a DFT calculation (PBE-GGA) of DyY3S4 after structural relaxation.

Calculated values
Total moment (Bohr magnetons per cell): 0.00
Calculated volume (Å³/cell): 169.8
DFT total energy (eV per atom): -7.049
Energy above the lowest structure with this stoichiometry (meV per atom): 8
Formation energy from raw total energies (eV/atom): -1.986

CIF file:
```
data_DyY3S4
_chemical_formula_sum 'Dy1 Y3 S4'
_cell_length_a 5.538
_cell_length_b 5.538
_cell_length_c 5.538
_cell_angle_alpha 90.00
_cell_angle_beta 90.00
_cell_angle_gamma 90.00
_symmetry_space_group_name_H-M 'P m -3 m'
_symmetry_Int_Tables_number 221
_symmetry_space_group_name_Hall '-P 4 2 3'
loop_
_atom_site_label
_atom_site_type_symbol
_atom_site_fract_x
_atom_site_fract_y
_atom_site_fract_z
_atom_site_occupancy
Dy1 Dy 0.000 0.000 0.000 1
Y1 Y 0.000 0.500 0.500 1
S1 S 0.000 0.000 0.500 1
S2 S 0.500 0.500 0.500 1
```

=====

Record 4
The following is a DFT calculation (PBE-GGA) of TbDyTlAu after structural relaxation.

Calculated values
Total moment (Bohr magnetons per cell): 0.00
Calculated volume (Å³/cell): 409.6
Energy of formation (eV/atom): -0.562
DFT total energy (eV per atom): -4.281
Energy above the lowest structure with this stoichiometry (meV per atom): 44

CIF file:
```
data_TbDyTlAu
_chemical_formula_sum 'Tb4 Dy4 Tl4 Au4'
_cell_length_a 7.427
_cell_length_b 7.427
_cell_length_c 7.427
_cell_angle_alpha 90.00
_cell_angle_beta 90.00
_cell_angle_gamma 90.00
_symmetry_space_group_name_H-M 'F -4 3 m'
_symmetry_Int_Tables_number 216
_symmetry_space_group_name_Hall 'F -4 2 3'
loop_
_atom_site_label
_atom_site_type_symbol
_atom_site_fract_x
_atom_site_fract_y
_atom_site_fract_z
_atom_site_occupancy
Tb1 Tb 0.000 0.000 0.000 1
Dy1 Dy 0.000 0.000 0.500 1
Tl1 Tl 0.250 0.250 0.750 1
Au1 Au 0.250 0.250 0.250 1
```

=====

Record 5
The following is a DFT calculation (PBE-GGA) of Y2Tm4C after structural relaxation.

Calculated values
Total moment (Bohr magnetons per cell): 0.00
Calculated volume (Å³/cell): 406.5
Energy of formation (eV/atom): 0.101
DFT total energy (eV per atom): -5.619

CIF file:
```
data_Y2Tm4C
_chemical_formula_sum 'Y4 Tm8 C2'
_cell_length_a 4.761
_cell_length_b 4.761
_cell_length_c 17.931
_cell_angle_alpha 90.00
_cell_angle_beta 90.00
_cell_angle_gamma 90.00
_symmetry_space_group_name_H-M 'I 4/m m m'
_symmetry_Int_Tables_number 139
_symmetry_space_group_name_Hall '-I 4 2'
loop_
_atom_site_label
_atom_site_type_symbol
_atom_site_fract_x
_atom_site_fract_y
_atom_site_fract_z
_atom_site_occupancy
Y1 Y 0.000 0.000 0.176 1
Tm1 Tm 0.000 0.000 0.369 1
Tm2 Tm 0.000 0.500 0.000 1
C1 C 0.000 0.000 0.500 1
```

=====

Record 6
The following is a DFT calculation (PBE-GGA) of Ta3CdSi after structural relaxation.

Calculated values
Total moment (Bohr magnetons per cell): 0.00
Calculated volume (Å³/cell): 119.8
DFT total energy (eV per atom): -6.072
Energy above the lowest structure with this stoichiometry (meV per atom): 1537
Formation energy from raw total energies (eV/atom): 2.307

CIF file:
```
data_Ta3CdSi
_chemical_formula_sum 'Ta3 Cd1 Si1'
_cell_length_a 4.930
_cell_length_b 4.930
_cell_length_c 4.930
_cell_angle_alpha 90.00
_cell_angle_beta 90.00
_cell_angle_gamma 90.00
_symmetry_space_group_name_H-M 'P m -3 m'
_symmetry_Int_Tables_number 221
_symmetry_space_group_name_Hall '-P 4 2 3'
loop_
_atom_site_label
_atom_site_type_symbol
_atom_site_fract_x
_atom_site_fract_y
_atom_site_fract_z
_atom_site_occupancy
Ta1 Ta 0.000 0.000 0.500 1
Cd1 Cd 0.000 0.000 0.000 1
Si1 Si 0.500 0.500 0.500 1
```

=====

Record 7
The following is a DFT calculation (PBE-GGA) of Ta2V2Hg after structural relaxation.

Calculated values
Total moment (Bohr magnetons per cell): 0.00
Calculated volume (Å³/cell): 170.9
Energy of formation (eV/atom): 0.319
DFT total energy (eV per atom): -8.130

CIF file:
```
data_Ta2V2Hg
_chemical_formula_sum 'Ta4 V4 Hg2'
_cell_length_a 7.083
_cell_length_b 7.083
_cell_length_c 3.408
_cell_angle_alpha 90.00
_cell_angle_beta 90.00
_cell_angle_gamma 90.00
_symmetry_space_group_name_H-M 'P 4/m b m'
_symmetry_Int_Tables_number 127
_symmetry_space_group_name_Hall '-P 4 2ab'
loop_
_atom_site_label
_atom_site_type_symbol
_atom_site_fract_x
_atom_site_fract_y
_atom_site_fract_z
_atom_site_occupancy
Ta1 Ta 0.180 0.320 0.000 1
V1 V 0.114 0.614 0.500 1
Hg1 Hg 0.000 0.000 0.500 1
```

=====

Record 8
The following is a DFT calculation (PBE-GGA) of RbThIn2I8 after structural relaxation.

Calculated values
Total moment (Bohr magnetons per cell): 0.00
Calculated volume (Å³/cell): 606.1
DFT total energy (eV per atom): -3.087
Formation energy from raw total energies (eV/atom): -0.898

CIF file:
```
data_RbThIn2I8
_chemical_formula_sum 'Rb1 Th1 In2 I8'
_cell_length_a 7.462
_cell_length_b 7.968
_cell_length_c 10.193
_cell_angle_alpha 89.97
_cell_angle_beta 89.90
_cell_angle_gamma 89.69
_symmetry_space_group_name_H-M 'P -1'
_symmetry_Int_Tables_number 2
loop_
_symmetry_equiv_pos_as_xyz
'x,y,z'
'-x,-y,-z'
loop_
_atom_site_label
_atom_site_type_symbol
_atom_site_fract_x
_atom_site_fract_y
_atom_site_fract_z
_atom_site_occupancy
Rb1 Rb 0.000 0.000 0.000 1
Th1 Th 0.000 0.000 0.500 1
In1 In 0.500 0.500 0.239 1
I1 I 0.236 0.317 0.500 1
I2 I 0.246 0.847 0.713 1
I3 I 0.247 0.849 0.287 1
I4 I 0.279 0.369 0.000 1
```

=====

Record 9
The following is a DFT calculation (PBE-GGA) of Np2Ta2S2N5 after structural relaxation.

Calculated values
Total moment (Bohr magnetons per cell): 10.00
Calculated volume (Å³/cell): 353.5
DFT total energy (eV per atom): -10.198
Formation energy from raw total energies (eV/atom): -1.155

CIF file:
```
data_Np2Ta2S2N5
_chemical_formula_sum 'Np4 Ta4 S4 N10'
_cell_length_a 3.882
_cell_length_b 3.882
_cell_length_c 23.458
_cell_angle_alpha 90.00
_cell_angle_beta 90.00
_cell_angle_gamma 90.00
_symmetry_space_group_name_H-M 'I 4/m m m'
_symmetry_Int_Tables_number 139
_symmetry_space_group_name_Hall '-I 4 2'
loop_
_atom_site_label
_atom_site_type_symbol
_atom_site_fract_x
_atom_site_fract_y
_atom_site_fract_z
_atom_site_occupancy
Np1 Np 0.000 0.000 0.163 1
Ta1 Ta 0.000 0.000 0.420 1
S1 S 0.000 0.000 0.287 1
N1 N 0.000 0.000 0.500 1
N2 N 0.000 0.500 0.110 1
```

=====

Record 10
The following is a DFT calculation (PBE-GGA) of La2MgZr after structural relaxation.

Calculated values
Total moment (Bohr magnetons per cell): 4.66
Calculated volume (Å³/cell): 464.5
Energy of formation (eV/atom): 0.213
DFT total energy (eV per atom): -4.787

CIF file:
```
data_La2MgZr
_chemical_formula_sum 'La8 Mg4 Zr4'
_cell_length_a 7.745
_cell_length_b 7.745
_cell_length_c 7.745
_cell_angle_alpha 90.00
_cell_angle_beta 90.00
_cell_angle_gamma 90.00
_symmetry_space_group_name_H-M 'F -4 3 m'
_symmetry_Int_Tables_number 216
_symmetry_space_group_name_Hall 'F -4 2 3'
loop_
_atom_site_label
_atom_site_type_symbol
_atom_site_fract_x
_atom_site_fract_y
_atom_site_fract_z
_atom_site_occupancy
La1 La 0.000 0.000 0.000 1
La2 La 0.250 0.250 0.250 1
Mg1 Mg 0.000 0.000 0.500 1
Zr1 Zr 0.250 0.250 0.750 1
```

=====

Record 11
The following is a DFT calculation (PBE-GGA) of Tm2PuIn after structural relaxation.

Calculated values
Total moment (Bohr magnetons per cell): 6.67
Calculated volume (Å³/cell): 108.3
Energy of formation (eV/atom): -0.137
DFT total energy (eV per atom): -6.640
Energy above the lowest structure with this stoichiometry (meV per atom): 11

CIF file:
```
data_Tm2PuIn
_chemical_formula_sum 'Tm2 Pu1 In1'
_cell_length_a 4.848
_cell_length_b 4.848
_cell_length_c 4.609
_cell_angle_alpha 90.00
_cell_angle_beta 90.00
_cell_angle_gamma 90.00
_symmetry_space_group_name_H-M 'P 4/m m m'
_symmetry_Int_Tables_number 123
_symmetry_space_group_name_Hall '-P 4 2'
loop_
_atom_site_label
_atom_site_type_symbol
_atom_site_fract_x
_atom_site_fract_y
_atom_site_fract_z
_atom_site_occupancy
Tm1 Tm 0.000 0.500 0.000 1
Pu1 Pu 0.000 0.000 0.500 1
In1 In 0.500 0.500 0.500 1
```

=====

Record 12
The following is a DFT calculation (PBE-GGA) of Li2Ag3Br3Cl2 after structural relaxation.

Calculated values
Total moment (Bohr magnetons per cell): 0.00
Calculated volume (Å³/cell): 482.1
DFT total energy (eV per atom): -2.975
Formation energy from raw total energies (eV/atom): -0.865

CIF file:
```
data_Li2Ag3Br3Cl2
_chemical_formula_sum 'Li4 Ag6 Br6 Cl4'
_cell_length_a 4.131
_cell_length_b 4.131
_cell_length_c 28.248
_cell_angle_alpha 90.00
_cell_angle_beta 90.00
_cell_angle_gamma 90.00
_symmetry_space_group_name_H-M 'I 4/m m m'
_symmetry_Int_Tables_number 139
_symmetry_space_group_name_Hall '-I 4 2'
loop_
_atom_site_label
_atom_site_type_symbol
_atom_site_fract_x
_atom_site_fract_y
_atom_site_fract_z
_atom_site_occupancy
Li1 Li 0.000 0.500 0.250 1
Ag1 Ag 0.000 0.000 0.000 1
Ag2 Ag 0.000 0.000 0.399 1
Br1 Br 0.000 0.000 0.105 1
Br2 Br 0.000 0.000 0.500 1
Cl1 Cl 0.000 0.000 0.290 1
```

=====

What is the formula in the third record? DyY3S4